Below is a geometry-optimized NbV2F structure, with properties calculated at the PBE+U level. Values from VASP.

Cell and atoms, written as Quantum ESPRESSO input:
```
&SYSTEM
  ibrav = 0, nat = 8, ntyp = 3
/
ATOMIC_SPECIES
Nb 92.91 Nb.upf
V 50.94 V.upf
F 19.00 F.upf
CELL_PARAMETERS angstrom
6.4567 0.0000 0.0000
0.0000 6.4567 0.0000
3.2284 3.2284 3.1650
ATOMIC_POSITIONS angstrom
Nb 0.0000 0.0000 0.0000
Nb 6.4567 3.2284 1.5825
V 4.2724 1.6142 0.7912
V 2.1843 4.8425 0.7912
V 4.8425 5.4126 2.3737
V 8.0709 7.5008 2.3737
F 3.2284 3.2284 0.0000
F 3.2284 6.4567 1.5825
```

Values from the calculation:
- calculated density (g/cm³) = 5.4
- total magnetic moment (μB per formula unit) = 4.08
- crystal system = tetragonal
- DFT total energy (eV/cell) = -50.29